Below is MgTlVF6 after structural relaxation, with properties calculated at the GGA+U level.

```
18
Lattice="-6.332 -3.664 -0.179 3.176 -5.275 -4.354 3.001 1.802 6.537" Properties=species:S:1:pos:R:3 pbc="T T T"
F -0.331 -2.419 3.448
F -2.269 -6.134 -1.514
F 2.890 -4.908 -1.742
Tl -1.174 -5.397 2.417
Mg 1.501 0.901 3.268
V -3.166 -1.832 -0.090
Tl 1.019 -1.740 -0.414
F 1.627 -5.670 0.764
F 2.021 -3.619 2.592
F -4.226 -2.883 1.169
F 2.114 -1.004 3.517
Mg -1.665 -0.931 3.179
F -2.176 -3.519 -0.589
V -1.578 -4.470 -2.267
F 0.176 -4.719 -1.445
F -3.045 -2.229 3.745
F 4.072 -4.255 0.834
F -1.781 -1.468 1.239
```

Below is MgTl2VF6 after structural relaxation, with properties calculated at the GGA+U level.

```
20
Lattice="5.944 0.000 0.000 0.000 5.951 0.000 0.000 0.000 8.406" Properties=species:S:1:pos:R:3 pbc="T T T"
F 4.420 0.040 0.000
V 2.972 1.488 4.203
F 1.448 3.016 4.203
Mg 0.000 4.463 4.203
F 1.524 0.040 0.000
F 0.000 4.464 2.154
F 4.420 2.936 0.000
F 4.496 3.016 4.203
F 4.495 5.911 4.203
V 0.000 4.464 0.000
F 1.448 5.911 4.203
Tl 2.972 4.464 6.307
Tl 0.000 1.488 6.303
F 2.972 1.488 2.049
Mg 2.972 1.488 0.000
F 0.000 4.464 6.252
F 2.972 1.488 6.357
F 1.524 2.936 0.000
Tl 0.000 1.488 2.103
Tl 2.972 4.464 2.100
```

Below is MgTl2V3F12 after structural relaxation, with properties calculated at the GGA+U level.

```
18
Lattice="7.452 -0.023 -0.016 3.661 6.491 -0.016 3.661 2.131 6.132" Properties=species:S:1:pos:R:3 pbc="T T T"
Tl 5.028 2.927 2.076
F 9.191 8.028 5.694
F 3.255 4.572 0.406
V 3.726 -0.011 -0.008
F 7.790 4.534 0.357
F 6.985 6.764 1.939
F 5.443 5.867 4.161
Tl 9.746 5.673 4.024
F 5.583 0.572 0.406
F 3.255 1.895 4.181
F 11.519 6.705 1.919
Mg 0.000 0.000 0.000
F 6.985 4.066 5.743
V 1.830 1.065 3.066
F 7.790 1.836 4.161
V 1.830 3.246 -0.008
F 11.519 4.027 5.694
F 9.331 2.733 1.939
```

Below is Mg2Tl3VF9 after structural relaxation, with properties calculated at the GGA+U level.

```
15
Lattice="5.914 0.000 0.000 -2.957 5.122 0.000 0.000 0.000 7.257" Properties=species:S:1:pos:R:3 pbc="T T T"
Tl 2.957 1.707 2.435
F 2.957 3.370 4.887
F -1.478 2.561 0.000
Tl 0.000 0.000 0.000
F 1.440 4.246 2.370
F -1.440 4.246 2.370
F 2.957 0.000 0.000
F 1.478 2.561 0.000
Mg 2.957 1.707 6.091
V 0.000 0.000 3.629
F 1.517 0.876 4.887
F 0.000 1.751 2.370
Mg 0.000 3.414 1.166
F 4.397 0.876 4.887
Tl 0.000 3.414 4.822
```

Below is MgTlWF6 after structural relaxation, with properties calculated at the GGA+U level.

```
18
Lattice="-2.984 4.601 -1.208 0.572 -4.062 -3.834 -9.837 -5.293 4.141" Properties=species:S:1:pos:R:3 pbc="T T T"
F -9.223 -0.424 0.141
F -4.224 -1.659 -0.472
F -8.026 -3.096 -0.430
W -4.258 0.390 -1.048
F -3.027 -4.330 -1.043
F -3.062 -0.558 -2.533
Mg -9.176 -2.257 1.022
Mg -3.073 -2.498 -1.924
F -10.162 -1.575 2.665
F -1.388 -2.314 -0.800
F -10.861 -2.441 -0.102
Tl 0.000 0.000 0.000
F -9.187 -4.197 1.632
W -7.991 -5.144 0.147
Tl -4.919 -2.647 2.070
F -2.087 -3.179 -3.567
F -4.649 -2.947 -3.128
F -7.600 -1.808 2.226
```

Below is Mg3Tl2WF12 after structural relaxation, with properties calculated at the GGA+U level.

```
18
Lattice="-6.952 1.009 -2.971 -1.906 -2.640 -6.897 -4.904 -5.765 -0.944" Properties=species:S:1:pos:R:3 pbc="T T T"
F -2.158 -2.137 -4.961
Tl -5.643 -3.032 -4.433
F -8.269 -3.464 -3.224
F -7.310 -5.825 -3.980
F -5.493 -3.931 -7.589
F -5.210 0.070 -2.587
Mg -0.953 -1.320 -3.449
F -5.210 -5.676 -5.603
Mg -2.452 -2.882 -0.472
F -8.551 -1.719 -5.209
Tl -8.119 -4.363 -6.379
Mg -3.476 0.505 -1.486
F -8.551 -7.466 -8.225
F -3.971 -4.027 -1.361
F -11.603 -5.258 -5.851
W 0.000 0.000 0.000
F -9.790 -3.369 -9.452
F -6.451 -1.570 -6.832
```

Sequential electronic total energy output: -5.409 -5.091 -5.581 -4.976 -5.224 -5.054 eV per atom
Sequential density of states at the Fermi level output: 0.00 0.00 0.37 0.00 0.00 0.40 states/eV/atom